# 1
# BaLi2InBr8 (PBE-GGA, optimized geometry)
data_BaLi2InBr8
_chemical_formula_sum 'Ba1 Li2 In1 Br8'
_symmetry_space_group_name_H-M 'P -3'
_symmetry_Int_Tables_number 147
_symmetry_space_group_name_Hall '-P 3'
_cell_length_a 6.9237
_cell_length_b 6.9237
_cell_length_c 8.9438
_cell_angle_alpha 90.00
_cell_angle_beta 90.00
_cell_angle_gamma 120.00
loop_
_atom_site_label
_atom_site_type_symbol
_atom_site_fract_x
_atom_site_fract_y
_atom_site_fract_z
Ba1 Ba 0.0000 0.0000 0.0000
Li1 Li 0.3333 0.6667 0.7095
In1 In 0.0000 0.0000 0.5000
Br1 Br 0.0247 0.7044 0.3146
Br2 Br 0.3333 0.6667 0.9929
# total DFT energy (no corrections) = -3.02 eV per atom
# volume = 30.94 Å³ per atom


# 2
# Pm3Al2Pd7 (PBE-GGA, optimized geometry)
data_Pm3Al2Pd7
_chemical_formula_sum 'Pm3 Al2 Pd7'
_symmetry_space_group_name_H-M 'P 1 2/m 1'
_symmetry_Int_Tables_number 10
_symmetry_space_group_name_Hall '-P 2y'
_cell_length_a 4.221
_cell_length_b 4.106
_cell_length_c 13.753
_cell_angle_alpha 90.00
_cell_angle_beta 98.82
_cell_angle_gamma 90.00
loop_
_atom_site_label
_atom_site_type_symbol
_atom_site_fract_x
_atom_site_fract_y
_atom_site_fract_z
Pm1 Pm 0.000 0.000 0.000
Pm2 Pm 0.319 0.500 0.636
Al1 Al 0.130 0.000 0.261
Pd1 Pd 0.080 0.500 0.160
Pd2 Pd 0.220 0.000 0.440
Pd3 Pd 0.419 0.000 0.838
Pd4 Pd 0.500 0.500 0.000
# energy above the lowest structure with this stoichiometry = 0 meV/atom
# energy of formation from the pure elements = -0.821 eV/atom
# total DFT energy (no corrections) = -5.66 eV per atom
# volume = 19.63 Å³ per atom


# 3
# LiLuPaPt (PBE-GGA, optimized geometry)
data_LiLuPaPt
_chemical_formula_sum 'Li4 Lu4 Pa4 Pt4'
_symmetry_space_group_name_H-M 'F -4 3 m'
_symmetry_Int_Tables_number 216
_symmetry_space_group_name_Hall 'F -4 2 3'
_cell_length_a 6.981
_cell_length_b 6.981
_cell_length_c 6.981
_cell_angle_alpha 90.00
_cell_angle_beta 90.00
_cell_angle_gamma 90.00
loop_
_atom_site_label
_atom_site_type_symbol
_atom_site_fract_x
_atom_site_fract_y
_atom_site_fract_z
Li1 Li 0.000 0.000 0.000
Lu1 Lu 0.250 0.250 0.750
Pa1 Pa 0.250 0.250 0.250
Pt1 Pt 0.000 0.000 0.500
# energy of formation from the pure elements = -0.333 eV/atom
# total DFT energy (no corrections) = -5.83 eV per atom
# volume = 21.26 Å³ per atom


# 4
# La2Os2Pb (PBE-GGA, optimized geometry)
data_La2Os2Pb
_chemical_formula_sum 'La4 Os4 Pb2'
_symmetry_space_group_name_H-M 'I 4/m m m'
_symmetry_Int_Tables_number 139
_symmetry_space_group_name_Hall '-I 4 2'
_cell_length_a 3.672
_cell_length_b 3.672
_cell_length_c 19.467
_cell_angle_alpha 90.00
_cell_angle_beta 90.00
_cell_angle_gamma 90.00
loop_
_atom_site_label
_atom_site_type_symbol
_atom_site_fract_x
_atom_site_fract_y
_atom_site_fract_z
La1 La 0.000 0.000 0.121
Os1 Os 0.000 0.500 0.250
Pb1 Pb 0.000 0.000 0.500
# energy of formation from the pure elements = 0.025 eV/atom
# total DFT energy (no corrections) = -7.18 eV per atom
# volume = 26.25 Å³ per atom


# 5
# MgZr2PdN (PBE-GGA, optimized geometry)
data_MgZr2PdN
_chemical_formula_sum 'Mg1 Zr2 Pd1 N1'
_symmetry_space_group_name_H-M 'P 4/m m m'
_symmetry_Int_Tables_number 123
_symmetry_space_group_name_Hall '-P 4 2'
_cell_length_a 4.460
_cell_length_b 4.460
_cell_length_c 4.203
_cell_angle_alpha 90.00
_cell_angle_beta 90.00
_cell_angle_gamma 90.00
loop_
_atom_site_label
_atom_site_type_symbol
_atom_site_fract_x
_atom_site_fract_y
_atom_site_fract_z
Mg1 Mg 0.000 0.000 0.000
Zr1 Zr 0.000 0.500 0.500
Pd1 Pd 0.500 0.500 0.000
N1 N 0.000 0.000 0.500
# total DFT energy (no corrections) = -7.22 eV per atom
# volume = 16.72 Å³ per atom


# 6
# CsLaTm4S8 (PBE-GGA, optimized geometry)
data_CsLaTm4S8
_chemical_formula_sum 'Cs3 La3 Tm12 S24'
_symmetry_space_group_name_H-M 'R 3 m'
_symmetry_Int_Tables_number 160
_symmetry_space_group_name_Hall 'R 3 -2"'
_cell_length_a 8.1859
_cell_length_b 8.1859
_cell_length_c 21.1521
_cell_angle_alpha 90.00
_cell_angle_beta 90.00
_cell_angle_gamma 120.00
loop_
_atom_site_label
_atom_site_type_symbol
_atom_site_fract_x
_atom_site_fract_y
_atom_site_fract_z
Cs1 Cs 0.0000 0.0000 0.0000
La1 La 0.0000 0.0000 0.6401
Tm1 Tm 0.0000 0.0000 0.2598
Tm2 Tm 0.1720 0.3439 0.4661
S1 S 0.0000 0.0000 0.3904
S2 S 0.0000 0.0000 0.8594
S3 S 0.0475 0.5237 0.3977
S4 S 0.1723 0.3446 0.2130
# total DFT energy (no corrections) = -5.91 eV per atom
# volume = 29.23 Å³ per atom


# 7
# La8Co3PdCl4 (PBE-GGA, optimized geometry)
data_La8Co3PdCl4
_chemical_formula_sum 'La16 Co6 Pd2 Cl8'
_symmetry_space_group_name_H-M 'C 1 2/m 1'
_symmetry_Int_Tables_number 12
_symmetry_space_group_name_Hall '-C 2y'
_cell_length_a 14.315
_cell_length_b 8.132
_cell_length_c 8.943
_cell_angle_alpha 90.00
_cell_angle_beta 121.57
_cell_angle_gamma 90.00
loop_
_atom_site_label
_atom_site_type_symbol
_atom_site_fract_x
_atom_site_fract_y
_atom_site_fract_z
La1 La 0.017 0.237 0.297
La2 La 0.237 0.000 0.702
La3 La 0.242 0.500 0.701
Co1 Co 0.000 0.000 0.500
Co2 Co 0.250 0.250 0.500
Pd1 Pd 0.000 0.500 0.500
Cl1 Cl 0.000 0.000 0.000
Cl2 Cl 0.000 0.500 0.000
Cl3 Cl 0.250 0.250 0.000
# total DFT energy (no corrections) = -5.58 eV per atom
# volume = 27.72 Å³ per atom


# 8
# PuScPa (PBE-GGA, optimized geometry)
data_PuScPa
_chemical_formula_sum 'Pu2 Sc2 Pa2'
_symmetry_space_group_name_H-M 'I 4 m m'
_symmetry_Int_Tables_number 107
_symmetry_space_group_name_Hall 'I 4 -2'
_cell_length_a 3.355
_cell_length_b 3.355
_cell_length_c 13.055
_cell_angle_alpha 90.00
_cell_angle_beta 90.00
_cell_angle_gamma 90.00
loop_
_atom_site_label
_atom_site_type_symbol
_atom_site_fract_x
_atom_site_fract_y
_atom_site_fract_z
Pu1 Pu 0.000 0.000 0.000
Sc1 Sc 0.000 0.000 0.316
Pa1 Pa 0.000 0.000 0.650
# energy above the lowest structure with this stoichiometry = 58 meV/atom
# energy of formation from the pure elements = 0.099 eV/atom
# total DFT energy (no corrections) = -9.95 eV per atom
# volume = 24.49 Å³ per atom


# 9
# Rb2Tl3Pb17 (PBE-GGA, optimized geometry)
data_Rb2Tl3Pb17
_chemical_formula_sum 'Rb2 Tl3 Pb17'
_symmetry_space_group_name_H-M 'P -1'
_symmetry_Int_Tables_number 2
_symmetry_space_group_name_Hall '-P 1'
_cell_length_a 7.833
_cell_length_b 10.360
_cell_length_c 10.697
_cell_angle_alpha 118.29
_cell_angle_beta 92.35
_cell_angle_gamma 90.18
loop_
_atom_site_label
_atom_site_type_symbol
_atom_site_fract_x
_atom_site_fract_y
_atom_site_fract_z
Rb1 Rb 0.222 0.151 0.285
Tl1 Tl 0.000 0.000 0.500
Tl2 Tl 0.000 0.500 0.500
Tl3 Tl 0.500 0.000 0.000
Pb1 Pb 0.000 0.500 0.000
Pb2 Pb 0.146 0.135 0.870
Pb3 Pb 0.150 0.725 0.868
Pb4 Pb 0.230 0.491 0.259
Pb5 Pb 0.239 0.785 0.244
Pb6 Pb 0.282 0.808 0.616
Pb7 Pb 0.297 0.350 0.714
Pb8 Pb 0.492 0.342 0.007
Pb9 Pb 0.500 0.000 0.500
Pb10 Pb 0.500 0.500 0.500
# energy of formation from the pure elements = 0.057 eV/atom
# total DFT energy (no corrections) = -3.22 eV per atom
# volume = 34.71 Å³ per atom


# 10
# CaAc2La7 (PBE-GGA, optimized geometry)
data_CaAc2La7
_chemical_formula_sum 'Ca2 Ac4 La14'
_symmetry_space_group_name_H-M 'C m m m'
_symmetry_Int_Tables_number 65
_symmetry_space_group_name_Hall '-C 2 2'
_cell_length_a 7.025
_cell_length_b 30.542
_cell_length_c 3.668
_cell_angle_alpha 90.00
_cell_angle_beta 90.00
_cell_angle_gamma 90.00
loop_
_atom_site_label
_atom_site_type_symbol
_atom_site_fract_x
_atom_site_fract_y
_atom_site_fract_z
Ca1 Ca 0.000 0.000 0.000
Ac1 Ac 0.000 0.292 0.500
La1 La 0.000 0.183 0.000
La2 La 0.000 0.500 0.500
La3 La 0.245 0.401 0.500
# energy of formation from the pure elements = 0.142 eV/atom
# total DFT energy (no corrections) = -4.33 eV per atom
# volume = 39.35 Å³ per atom


# 11
# SmErThMg (PBE-GGA, optimized geometry)
data_SmErThMg
_chemical_formula_sum 'Sm4 Er4 Th4 Mg4'
_symmetry_space_group_name_H-M 'F -4 3 m'
_symmetry_Int_Tables_number 216
_symmetry_space_group_name_Hall 'F -4 2 3'
_cell_length_a 7.835
_cell_length_b 7.835
_cell_length_c 7.835
_cell_angle_alpha 90.00
_cell_angle_beta 90.00
_cell_angle_gamma 90.00
loop_
_atom_site_label
_atom_site_type_symbol
_atom_site_fract_x
_atom_site_fract_y
_atom_site_fract_z
Sm1 Sm 0.000 0.000 0.000
Er1 Er 0.250 0.250 0.750
Th1 Th 0.000 0.000 0.500
Mg1 Mg 0.250 0.250 0.250
# energy above the lowest structure with this stoichiometry = 137 meV/atom
# energy of formation from the pure elements = 0.094 eV/atom
# total DFT energy (no corrections) = -4.48 eV per atom
# volume = 30.07 Å³ per atom


# 12
# Sm4TeP3 (PBE-GGA, optimized geometry)
data_Sm4TeP3
_chemical_formula_sum 'Sm8 Te2 P6'
_symmetry_space_group_name_H-M 'P 63/m m c'
_symmetry_Int_Tables_number 194
_symmetry_space_group_name_Hall '-P 6c 2c'
_cell_length_a 4.1673
_cell_length_b 4.1673
_cell_length_c 27.7924
_cell_angle_alpha 90.00
_cell_angle_beta 90.00
_cell_angle_gamma 120.00
loop_
_atom_site_label
_atom_site_type_symbol
_atom_site_fract_x
_atom_site_fract_y
_atom_site_fract_z
Sm1 Sm 0.0000 0.0000 0.1729
Sm2 Sm 0.3333 0.6667 0.0575
Te1 Te 0.3333 0.6667 0.2500
P1 P 0.0000 0.0000 0.0000
P2 P 0.3333 0.6667 0.6197
# total DFT energy (no corrections) = -6.38 eV per atom
# volume = 26.12 Å³ per atom


# 13
# K2ZrMn (PBE-GGA, optimized geometry)
data_K2ZrMn
_chemical_formula_sum 'K2 Zr1 Mn1'
_symmetry_space_group_name_H-M 'P 4/m m m'
_symmetry_Int_Tables_number 123
_symmetry_space_group_name_Hall '-P 4 2'
_cell_length_a 3.141
_cell_length_b 3.141
_cell_length_c 12.796
_cell_angle_alpha 90.00
_cell_angle_beta 90.00
_cell_angle_gamma 90.00
loop_
_atom_site_label
_atom_site_type_symbol
_atom_site_fract_x
_atom_site_fract_y
_atom_site_fract_z
K1 K 0.000 0.000 0.235
Zr1 Zr 0.500 0.500 0.500
Mn1 Mn 0.500 0.500 0.000
# energy above the lowest structure with this stoichiometry = 534 meV/atom
# energy of formation from the pure elements = 1.099 eV/atom
# total DFT energy (no corrections) = -3.88 eV per atom
# volume = 31.56 Å³ per atom


# 14
# Hf2BeCl (PBE-GGA, optimized geometry)
data_Hf2BeCl
_chemical_formula_sum 'Hf8 Be4 Cl4'
_symmetry_space_group_name_H-M 'F m -3 m'
_symmetry_Int_Tables_number 225
_symmetry_space_group_name_Hall '-F 4 2 3'
_cell_length_a 6.473
_cell_length_b 6.473
_cell_length_c 6.473
_cell_angle_alpha 90.00
_cell_angle_beta 90.00
_cell_angle_gamma 90.00
loop_
_atom_site_label
_atom_site_type_symbol
_atom_site_fract_x
_atom_site_fract_y
_atom_site_fract_z
Hf1 Hf 0.250 0.250 0.250
Be1 Be 0.000 0.000 0.000
Cl1 Cl 0.000 0.000 0.500
# energy above the lowest structure with this stoichiometry = 0 meV/atom
# total DFT energy (no corrections) = -6.28 eV per atom
# volume = 16.95 Å³ per atom


# 15
# TcPIr (PBE-GGA, optimized geometry)
data_TcPIr
_chemical_formula_sum 'Tc4 P4 Ir4'
_symmetry_space_group_name_H-M 'F -4 3 m'
_symmetry_Int_Tables_number 216
_symmetry_space_group_name_Hall 'F -4 2 3'
_cell_length_a 5.609
_cell_length_b 5.609
_cell_length_c 5.609
_cell_angle_alpha 90.00
_cell_angle_beta 90.00
_cell_angle_gamma 90.00
loop_
_atom_site_label
_atom_site_type_symbol
_atom_site_fract_x
_atom_site_fract_y
_atom_site_fract_z
Tc1 Tc 0.000 0.000 0.000
P1 P 0.250 0.250 0.750
Ir1 Ir 0.000 0.000 0.500
# energy above the lowest structure with this stoichiometry = 94 meV/atom
# energy of formation from the pure elements = -0.266 eV/atom
# total DFT energy (no corrections) = -8.48 eV per atom
# volume = 14.71 Å³ per atom


# 16
# ZnHgTe2 (PBE-GGA, optimized geometry)
data_ZnHgTe2
_chemical_formula_sum 'Zn1 Hg1 Te2'
_symmetry_space_group_name_H-M 'P 1'
_symmetry_Int_Tables_number 1
_symmetry_space_group_name_Hall 'P 1'
_cell_length_a 4.531
_cell_length_b 4.531
_cell_length_c 7.873
_cell_angle_alpha 106.72
_cell_angle_beta 90.00
_cell_angle_gamma 119.99
loop_
_atom_site_label
_atom_site_type_symbol
_atom_site_fract_x
_atom_site_fract_y
_atom_site_fract_z
Zn1 Zn 0.000 0.000 0.000
Hg1 Hg 0.503 0.002 0.508
Te1 Te 0.120 0.237 0.360
Te2 Te 0.631 0.261 0.892
# total DFT energy (no corrections) = -2.26 eV per atom
# volume = 33.01 Å³ per atom


# 17
# HfAg4Se4 (PBE-GGA, optimized geometry)
data_HfAg4Se4
_chemical_formula_sum 'Hf2 Ag8 Se8'
_symmetry_space_group_name_H-M 'I -4 2 m'
_symmetry_Int_Tables_number 121
_symmetry_space_group_name_Hall 'I -4 2'
_cell_length_a 6.295
_cell_length_b 6.295
_cell_length_c 12.140
_cell_angle_alpha 90.00
_cell_angle_beta 90.00
_cell_angle_gamma 90.00
loop_
_atom_site_label
_atom_site_type_symbol
_atom_site_fract_x
_atom_site_fract_y
_atom_site_fract_z
Hf1 Hf 0.000 0.000 0.000
Ag1 Ag 0.000 0.000 0.259
Ag2 Ag 0.000 0.500 0.000
Se1 Se 0.236 0.236 0.123
# total DFT energy (no corrections) = -4.40 eV per atom
# volume = 26.73 Å³ per atom


# 18
# NaCd2Pb2 (PBE-GGA, optimized geometry)
data_NaCd2Pb2
_chemical_formula_sum 'Na2 Cd4 Pb4'
_symmetry_space_group_name_H-M 'I 4/m m m'
_symmetry_Int_Tables_number 139
_symmetry_space_group_name_Hall '-I 4 2'
_cell_length_a 4.304
_cell_length_b 4.304
_cell_length_c 15.963
_cell_angle_alpha 90.00
_cell_angle_beta 90.00
_cell_angle_gamma 90.00
loop_
_atom_site_label
_atom_site_type_symbol
_atom_site_fract_x
_atom_site_fract_y
_atom_site_fract_z
Na1 Na 0.000 0.000 0.000
Cd1 Cd 0.000 0.500 0.250
Pb1 Pb 0.000 0.000 0.394
# energy above the lowest structure with this stoichiometry = 25 meV/atom
# energy of formation from the pure elements = 0.000 eV/atom
# total DFT energy (no corrections) = -2.11 eV per atom
# volume = 29.57 Å³ per atom


# 19
# HfI3O (PBE-GGA, optimized geometry)
data_HfI3O
_chemical_formula_sum 'Hf1 I3 O1'
_symmetry_space_group_name_H-M 'P m -3 m'
_symmetry_Int_Tables_number 221
_symmetry_space_group_name_Hall '-P 4 2 3'
_cell_length_a 5.028
_cell_length_b 5.028
_cell_length_c 5.028
_cell_angle_alpha 90.00
_cell_angle_beta 90.00
_cell_angle_gamma 90.00
loop_
_atom_site_label
_atom_site_type_symbol
_atom_site_fract_x
_atom_site_fract_y
_atom_site_fract_z
Hf1 Hf 0.000 0.000 0.000
I1 I 0.000 0.500 0.500
O1 O 0.500 0.500 0.500
# total DFT energy (no corrections) = -3.24 eV per atom
# volume = 25.42 Å³ per atom


# 20
# VGaBPt2 (PBE-GGA, optimized geometry)
data_VGaBPt2
_chemical_formula_sum 'V1 Ga1 B1 Pt2'
_symmetry_space_group_name_H-M 'P 4/m m m'
_symmetry_Int_Tables_number 123
_symmetry_space_group_name_Hall '-P 4 2'
_cell_length_a 4.161
_cell_length_b 4.161
_cell_length_c 4.139
_cell_angle_alpha 90.00
_cell_angle_beta 90.00
_cell_angle_gamma 90.00
loop_
_atom_site_label
_atom_site_type_symbol
_atom_site_fract_x
_atom_site_fract_y
_atom_site_fract_z
V1 V 0.000 0.000 0.000
Ga1 Ga 0.500 0.500 0.000
B1 B 0.000 0.000 0.500
Pt1 Pt 0.000 0.500 0.500
# energy of formation from the pure elements = -0.112 eV/atom
# total DFT energy (no corrections) = -6.29 eV per atom
# volume = 14.33 Å³ per atom